[1]
Sm12Sn6Ru | PBE | relaxed

```
data_Sm12Sn6Ru
_cell_length_a 8.784
_cell_length_b 8.784
_cell_length_c 8.784
_cell_angle_alpha 99.33
_cell_angle_beta 99.33
_cell_angle_gamma 99.33
_symmetry_space_group_name_H-M 'P 1'
_symmetry_Int_Tables_number 1
loop_
_symmetry_equiv_pos_as_xyz
'x,y,z'
loop_
_atom_site_label
_atom_site_fract_x
_atom_site_fract_y
_atom_site_fract_z
Sm1 0.055 0.982 0.314
Sn1 0.639 0.308 0.123
Sm2 0.572 0.438 0.807
Sm3 0.982 0.314 0.055
Sn2 0.308 0.123 0.639
Sn3 0.123 0.639 0.308
Sm4 0.945 0.018 0.686
Sn4 0.361 0.692 0.877
Sm5 0.807 0.572 0.438
Sm6 0.562 0.193 0.428
Sm7 0.314 0.055 0.982
Ru1 0.000 0.000 0.000
Sn5 0.692 0.877 0.361
Sm8 0.438 0.807 0.572
Sm9 0.193 0.428 0.562
Sm10 0.018 0.686 0.945
Sn6 0.877 0.361 0.692
Sm11 0.428 0.562 0.193
Sm12 0.686 0.945 0.018
```

total magnetization	0.00	μB/f.u.
uncorrected energy	-5.1351	eV per atom
formation energy from the elements	-0.402	eV/atom

=====

[2]
Sm3Sn13Ru4 | PBE | relaxed

```
data_Sm3Sn13Ru4
_cell_length_a 9.786
_cell_length_b 9.786
_cell_length_c 9.786
_cell_angle_alpha 90.00
_cell_angle_beta 90.00
_cell_angle_gamma 90.00
_symmetry_space_group_name_H-M 'P 1'
_symmetry_Int_Tables_number 1
loop_
_symmetry_equiv_pos_as_xyz
'x,y,z'
loop_
_atom_site_label
_atom_site_fract_x
_atom_site_fract_y
_atom_site_fract_z
Ru1 0.750 0.750 0.750
Sm1 0.500 0.750 0.000
Sn1 0.697 0.000 0.154
Sm2 0.000 0.500 0.250
Ru2 0.250 0.750 0.250
Sn2 0.654 0.500 0.803
Sm3 0.000 0.500 0.750
Sn3 0.346 0.500 0.197
Sn4 0.000 0.846 0.697
Sn5 0.000 0.154 0.303
Sn6 0.197 0.346 0.500
Ru3 0.250 0.250 0.250
Sn7 0.500 0.197 0.346
Sm4 0.250 0.000 0.500
Sn8 0.000 0.154 0.697
Sn9 0.500 0.197 0.654
Sn10 0.803 0.654 0.500
Sn11 0.303 0.000 0.154
Sn12 0.000 0.000 0.000
Sn13 0.803 0.346 0.500
Ru4 0.250 0.750 0.750
Sn14 0.500 0.803 0.346
Sn15 0.500 0.803 0.654
Sn16 0.654 0.500 0.197
Sn17 0.197 0.654 0.500
Sn18 0.846 0.303 0.000
Ru5 0.750 0.250 0.250
Sn19 0.000 0.846 0.303
Ru6 0.250 0.250 0.750
Sn20 0.346 0.500 0.803
Sn21 0.697 0.000 0.846
Sn22 0.500 0.500 0.500
Ru7 0.750 0.250 0.750
Sn23 0.154 0.303 0.000
Ru8 0.750 0.750 0.250
Sn24 0.154 0.697 0.000
Sn25 0.846 0.697 0.000
Sm5 0.750 0.000 0.500
Sm6 0.500 0.250 0.000
Sn26 0.303 0.000 0.846
```

total magnetization	0.00	μB/f.u.
uncorrected energy	-5.5841	eV per atom
formation energy from the elements	-0.419	eV/atom

=====

[3]
Sm2Sn5Ru3 | PBE | relaxed

```
data_Sm2Sn5Ru3
_cell_length_a 4.487
_cell_length_b 7.237
_cell_length_c 13.545
_cell_angle_alpha 90.00
_cell_angle_beta 99.54
_cell_angle_gamma 90.00
_symmetry_space_group_name_H-M 'P 1'
_symmetry_Int_Tables_number 1
loop_
_symmetry_equiv_pos_as_xyz
'x,y,z'
loop_
_atom_site_label
_atom_site_fract_x
_atom_site_fract_y
_atom_site_fract_z
Sm1 0.174 0.734 0.347
Ru1 0.606 0.505 0.213
Ru2 0.950 0.470 0.901
Sn1 0.403 0.384 0.806
Sn2 0.122 0.247 0.244
Sn3 0.050 0.584 0.099
Sn4 0.878 0.747 0.756
Sm2 0.477 0.754 0.955
Sn5 0.597 0.884 0.194
Sm3 0.523 0.254 0.045
Sn6 0.290 0.517 0.581
Sn7 0.710 0.017 0.419
Sn8 0.707 0.442 0.413
Ru3 0.394 0.005 0.787
Sn9 0.293 0.942 0.587
Sn10 0.950 0.084 0.901
Ru4 0.224 0.228 0.448
Ru5 0.776 0.728 0.552
Ru6 0.050 0.970 0.099
Sm4 0.826 0.234 0.653
```

total magnetization	0.00	μB/f.u.
uncorrected energy	-6.1442	eV per atom
formation energy from the elements	-0.416	eV/atom

=====

Which value of total magnetization does entry 2 give?
0.00 μB/f.u.

=====

Which of these has the lowest formation energy from the elements?
Sm3Sn13Ru4

=====

What is the total magnetization in the third record?
0.00 μB/f.u.

=====

Look up the total magnetization of the third one.
0.00 μB/f.u.